A plane-wave DFT calculation with GGA-PBE was carried out for a relaxed structure of PuAgS2.

Calculated values
crystal system	trigonal
raw formation energy	-1.05	eV/atom
V	21.34	A^3/atom

Cell: 6.3339 6.3339 6.3339 Å, 37.73 37.73 37.73°
Closest atoms and distances in Å follow each position.
Fractional coordinates of all 4 atoms:
Pu  0.0000  0.0000  0.0000  6 S 2.76
Ag  0.5000  0.5000  0.5000  6 S 2.81
S  0.2526  0.2526  0.2526  3 Pu 2.76, 3 Ag 2.81
S  0.7474  0.7474  0.7474  3 Pu 2.76, 3 Ag 2.81